SrCdTe after structural relaxation. Source: Alexandria, functional PBE.

The value obtained for the total energy is -2.7238 eV/atom. The excess energy over the best structure of this formula in the dataset comes out at 33 meV/atom. The value obtained for the uncorrected formation energy is -0.81 eV/atom.

The structure belongs to space group P3m1 (No. 156); the cell edges are 4.6604, 4.6604 and 5.7926 Å and the angles 90.00°, 90.00° and 120.00°. The inequivalent atoms are Sr at (0.0000, 0.0000, 0.0000), Cd at (0.3333, 0.6667, 0.6155) and Te at (0.6667, 0.3333, 0.3278).

---

Cd7Sn2Hg2 after structural relaxation. Source: Alexandria, functional PBE.

As for the calculated formation energy: 0.04 eV per atom. The value obtained for the total energy is -1.3262 eV/atom. The excess energy over the best structure of this formula in the dataset comes out at 0 meV/atom.

The structure belongs to space group C2/m (No. 12); the cell edges are 10.6115, 10.2405 and 5.7204 Å and the angles 90.00°, 118.59° and 90.00°. The inequivalent atoms are Cd at (0.0000, 0.0000, 0.0000), Cd at (0.1216, 0.5000, 0.4146), Cd at (0.1781, 0.2406, 0.1925), Sn at (0.0000, 0.1535, 0.5000) and Hg at (0.1970, 0.5000, 0.9786).

---

Tc2HgPdSe after structural relaxation. Source: Alexandria, functional PBE.

The value obtained for the total energy is -5.1398 eV/atom. The value obtained for the uncorrected formation energy is 0.80 eV/atom.

The structure belongs to space group P4/mmm (No. 123); the cell edges are 4.6142, 4.6142 and 4.6772 Å and the angles 90.00°, 90.00° and 90.00°. The inequivalent atoms are Tc at (0.0000, 0.5000, 0.0000), Hg at (0.0000, 0.0000, 0.5000), Pd at (0.5000, 0.5000, 0.5000) and Se at (0.5000, 0.5000, 0.0000).

---

CaSmIn2 after structural relaxation. Source: Alexandria, functional PBE.

As for the calculated formation energy: -0.48 eV per atom. The value obtained for the total energy is -3.5286 eV/atom.

The structure belongs to space group P4/mmm (No. 123); the cell edges are 3.8176, 3.8176 and 7.7755 Å and the angles 90.00°, 90.00° and 90.00°. The inequivalent atoms are Ca at (0.0000, 0.0000, 0.0000), Sm at (0.0000, 0.0000, 0.5000) and In at (0.5000, 0.5000, 0.2493).

---

Pm5Y3Th2 after structural relaxation. Source: Alexandria, functional PBE.

As for the calculated formation energy: 0.22 eV per atom. The value obtained for the total energy is -5.5790 eV/atom.

The structure belongs to space group C2/c (No. 15); the cell edges are 10.9827, 15.1627 and 9.8444 Å and the angles 90.00°, 123.72° and 90.00°. The inequivalent atoms are Pm at (0.0000, 0.0278, 0.2500), Pm at (0.0000, 0.2325, 0.2500), Pm at (0.0000, 0.2745, 0.7500), Pm at (0.2447, 0.1229, 0.7422), Y at (0.0000, 0.4811, 0.7500), Y at (0.1542, 0.1241, 0.0512) and Th at (0.1506, 0.3750, 0.5546).

---

Co4CuNi after structural relaxation. Source: Alexandria, functional PBE.

As for the calculated formation energy: 0.26 eV per atom. The value obtained for the total energy is -6.1206 eV/atom.

The structure belongs to space group F-43m (No. 216); the cell edges are 6.5715, 6.5715 and 6.5715 Å and the angles 90.00°, 90.00° and 90.00°. The inequivalent atoms are Co at (0.1250, 0.1250, 0.1250), Cu at (0.0000, 0.0000, 0.5000) and Ni at (0.2500, 0.2500, 0.7500).

---

Pm8P3CS3 after structural relaxation. Source: Alexandria, functional PBE.

The value obtained for the total energy is -6.5577 eV/atom. The value obtained for the uncorrected formation energy is -1.50 eV/atom.

The structure belongs to space group R-3m (No. 166, hexagonal axes); the cell edges are 8.1201, 8.1201 and 19.8322 Å and the angles 90.00°, 90.00° and 120.00°. The inequivalent atoms are Pm at (0.0000, 0.0000, 0.2474), Pm at (0.0310, 0.5155, 0.7436), P at (0.0000, 0.5000, 0.5000), C at (0.0000, 0.0000, 0.0000) and S at (0.0000, 0.5000, 0.0000).

---

Hg2AuCl after structural relaxation. Source: Alexandria, functional PBE.

The value obtained for the total energy is -1.4786 eV/atom. The excess energy over the best structure of this formula in the dataset comes out at 79 meV/atom. The value obtained for the uncorrected formation energy is -0.05 eV/atom.

The structure belongs to space group Immm (No. 71); the cell edges are 3.7089, 6.7308 and 8.5377 Å and the angles 90.00°, 90.00° and 90.00°. The inequivalent atoms are Hg at (0.0000, 0.0000, 0.2420), Au at (0.0000, 0.5000, 0.5000) and Cl at (0.0000, 0.5000, 0.0000).

---

Pm3Nd5Th2 after structural relaxation. Source: Alexandria, functional PBE.

As for the calculated formation energy: 0.21 eV per atom. The value obtained for the total energy is -5.0822 eV/atom.

The structure belongs to space group C2/c (No. 15); the cell edges are 11.1781, 14.6697 and 10.1432 Å and the angles 90.00°, 123.40° and 90.00°. The inequivalent atoms are Pm at (0.0000, 0.2365, 0.2500), Pm at (0.1491, 0.1250, 0.0502), Nd at (0.0000, 0.0259, 0.2500), Nd at (0.0000, 0.2767, 0.7500), Nd at (0.0000, 0.4871, 0.7500), Nd at (0.2491, 0.3743, 0.2480) and Th at (0.1561, 0.3746, 0.5603).

---

MnHgS2 after structural relaxation. Source: Alexandria, functional PBE.

The value obtained for the total energy is -4.5591 eV/atom. The excess energy over the best structure of this formula in the dataset comes out at 284 meV/atom. The value obtained for the uncorrected formation energy is -0.13 eV/atom.

The structure belongs to space group Pna2_1 (No. 33); the cell edges are 6.4418, 8.6377 and 6.4189 Å and the angles 90.00°, 90.00° and 90.00°. The inequivalent atoms are Mn at (0.0265, 0.1181, 0.0000), Hg at (0.0543, 0.5903, 0.9967), S at (0.0100, 0.0870, 0.6753) and S at (0.1660, 0.6928, 0.5791).

---

Mg2TiCo2 after structural relaxation. Source: Alexandria, functional PBE.

As for the calculated formation energy: 0.27 eV per atom. The value obtained for the total energy is -4.7939 eV/atom. The excess energy over the best structure of this formula in the dataset comes out at 265 meV/atom.

The structure belongs to space group P4/mbm (No. 127); the cell edges are 7.2480, 7.2480 and 2.7935 Å and the angles 90.00°, 90.00° and 90.00°. The inequivalent atoms are Mg at (0.1271, 0.3729, 0.0000), Ti at (0.0000, 0.0000, 0.0000) and Co at (0.1751, 0.6751, 0.5000).

---

NaLi4Sn after structural relaxation. Source: Alexandria, functional PBE.

As for the calculated formation energy: -0.14 eV per atom. The value obtained for the total energy is -2.3009 eV/atom. The excess energy over the best structure of this formula in the dataset comes out at 18 meV/atom.

The structure belongs to space group C2/c (No. 15); the cell edges are 15.5510, 5.3216 and 6.3818 Å and the angles 90.00°, 102.73° and 90.00°. The inequivalent atoms are Na at (0.2500, 0.2500, 0.0000), Li at (0.0718, 0.1224, 0.1535), Li at (0.1446, 0.3405, 0.5472) and Sn at (0.0000, 0.3852, 0.7500).

---

NaLi2ScCl6 after structural relaxation. Source: Alexandria, functional PBE.

The value obtained for the total energy is -4.1785 eV/atom. The value obtained for the uncorrected formation energy is -1.92 eV/atom.

The structure belongs to space group R3 (No. 146, hexagonal axes); the cell edges are 6.5530, 6.5530 and 18.0913 Å and the angles 90.00°, 90.00° and 120.00°. The inequivalent atoms are Na at (0.0000, 0.0000, 0.0000), Li at (0.0000, 0.0000, 0.2961), Li at (0.0000, 0.0000, 0.8034), Sc at (0.0000, 0.0000, 0.4892), Cl at (0.0030, 0.3442, 0.2279) and Cl at (0.0206, 0.6371, 0.0685).

---

Ho2InAu4 after structural relaxation. Source: Alexandria, functional PBE.

As for the calculated formation energy: -0.60 eV per atom. The value obtained for the total energy is -4.1740 eV/atom.

The structure belongs to space group R-3m (No. 166, hexagonal axes); the cell edges are 4.8799, 4.8799 and 23.8442 Å and the angles 90.00°, 90.00° and 120.00°. The inequivalent atoms are Ho at (0.0000, 0.0000, 0.2487), In at (0.0000, 0.0000, 0.0000), Au at (0.0000, 0.0000, 0.1268) and Au at (0.0000, 0.0000, 0.3770).

---

Mo2Rh3 after structural relaxation. Source: Alexandria, functional PBE.

As for the calculated formation energy: 0.11 eV per atom. The value obtained for the total energy is -8.6315 eV/atom. The excess energy over the best structure of this formula in the dataset comes out at 207 meV/atom.

The structure belongs to space group Pnma (No. 62); the cell edges are 9.4347, 4.2496 and 7.9811 Å and the angles 90.00°, 90.00° and 90.00°. The inequivalent atoms are Mo at (0.0418, 0.2500, 0.2397), Mo at (0.2286, 0.7500, 0.2881), Rh at (0.0459, 0.2500, 0.5825), Rh at (0.1557, 0.7500, 0.9624) and Rh at (0.2132, 0.7500, 0.6078).

---

MgGa2O4 after structural relaxation. Source: Alexandria, functional PBE.

The value obtained for the total energy is -6.0582 eV/atom. The value obtained for the uncorrected formation energy is -2.13 eV/atom.

The structure belongs to space group Fd-3m (No. 227, origin choice 2); the cell edges are 8.4544, 8.4544 and 8.4544 Å and the angles 90.00°, 90.00° and 90.00°. The inequivalent atoms are Mg at (0.1250, 0.1250, 0.1250), Ga at (0.0000, 0.0000, 0.5000) and O at (0.0111, 0.0111, 0.7389).

---

AcGdMgPb after structural relaxation. Source: Alexandria, functional PBE.

As for the calculated formation energy: -0.27 eV per atom. The value obtained for the total energy is -6.1412 eV/atom.

The structure belongs to space group F-43m (No. 216); the cell edges are 7.9890, 7.9890 and 7.9890 Å and the angles 90.00°, 90.00° and 90.00°. The inequivalent atoms are Ac at (0.0000, 0.0000, 0.0000), Gd at (0.0000, 0.0000, 0.5000), Mg at (0.2500, 0.2500, 0.2500) and Pb at (0.2500, 0.2500, 0.7500).

---

BaTl2Pb4 after structural relaxation. Source: Alexandria, functional PBE.

As for the calculated formation energy: -0.14 eV per atom. The value obtained for the total energy is -3.2064 eV/atom. The excess energy over the best structure of this formula in the dataset comes out at 63 meV/atom.

The structure belongs to space group Cmmm (No. 65); the cell edges are 4.9444, 20.0718 and 4.8786 Å and the angles 90.00°, 90.00° and 90.00°. The inequivalent atoms are Ba at (0.0000, 0.0000, 0.0000), Tl at (0.0000, 0.4236, 0.5000), Pb at (0.0000, 0.1805, 0.5000) and Pb at (0.0000, 0.3175, 0.0000).

---

KInBrF after structural relaxation. Source: Alexandria, functional PBE.

The value obtained for the total energy is -3.4774 eV/atom. The value obtained for the uncorrected formation energy is -1.63 eV/atom.

The structure belongs to space group R-3m (No. 166, hexagonal axes); the cell edges are 5.3515, 5.3515 and 32.7434 Å and the angles 90.00°, 90.00° and 120.00°. The inequivalent atoms are K at (0.0000, 0.0000, 0.1289), In at (0.0000, 0.0000, 0.2770), Br at (0.0000, 0.0000, 0.4119) and F at (0.0000, 0.0000, 0.2067).

---

CaFeIr2 after structural relaxation. Source: Alexandria, functional PBE.

As for the calculated formation energy: 0.18 eV per atom. The value obtained for the total energy is -6.8657 eV/atom. The excess energy over the best structure of this formula in the dataset comes out at 186 meV/atom.

The structure belongs to space group P4/mmm (No. 123); the cell edges are 4.5357, 4.5357 and 3.1646 Å and the angles 90.00°, 90.00° and 90.00°. The inequivalent atoms are Ca at (0.0000, 0.0000, 0.0000), Fe at (0.5000, 0.5000, 0.0000) and Ir at (0.0000, 0.5000, 0.5000).